1.
! Ho2CrMoN5 PBE optimized geometry; values from VASP
&SYSTEM
  ibrav = 0, nat = 18, ntyp = 4
/
ATOMIC_SPECIES
Ho 164.93 Ho.upf
Cr 52.00 Cr.upf
Mo 95.94 Mo.upf
N 14.01 N.upf
ATOMIC_POSITIONS crystal
Ho 0.1084 0.8916 0.5000
Ho 0.1452 0.8548 0.0891
Ho 0.8548 0.1452 0.5891
Ho 0.8916 0.1084 0.0000
Cr 0.4827 0.5173 0.2615
Cr 0.5173 0.4827 0.7615
Mo 0.2210 0.7790 0.8078
Mo 0.7790 0.2210 0.3078
N 0.0434 0.9566 0.8434
N 0.2828 0.7172 0.4460
N 0.3185 0.6815 0.1705
N 0.3696 0.6304 0.7982
N 0.4891 0.5109 0.5851
N 0.5109 0.4891 0.0851
N 0.6304 0.3696 0.2982
N 0.6815 0.3185 0.6705
N 0.7172 0.2828 0.9460
N 0.9566 0.0434 0.3434
CELL_PARAMETERS angstrom
1.5902 -6.4602 0.0000
1.5902 6.4602 0.0000
0.0000 0.0000 10.0560
! **Energy relative to the elements, uncorrected**: -8.607 eV per formula unit
! **Raw total energy**: -8.871 eV/atom

=====

2.
! CdHg2GeRh PBE optimized geometry; values from VASP
&SYSTEM
  ibrav = 0, nat = 5, ntyp = 4
/
ATOMIC_SPECIES
Cd 112.41 Cd.upf
Hg 200.59 Hg.upf
Ge 72.64 Ge.upf
Rh 102.91 Rh.upf
ATOMIC_POSITIONS crystal
Cd 0.0000 0.0000 0.0000
Hg 0.0000 0.5000 0.5000
Hg 0.5000 0.0000 0.5000
Ge 0.5000 0.5000 0.5000
Rh 0.5000 0.5000 0.0000
CELL_PARAMETERS angstrom
5.2218 0.0000 0.0000
0.0000 5.2218 0.0000
0.0000 0.0000 4.6860
! **Raw total energy**: -2.244 eV/atom

=====

3.
! Li2LaMg2 PBE optimized geometry; values from VASP
&SYSTEM
  ibrav = 0, nat = 10, ntyp = 3
/
ATOMIC_SPECIES
Li 6.94 Li.upf
La 138.91 La.upf
Mg 24.30 Mg.upf
ATOMIC_POSITIONS crystal
Li 0.0000 0.0000 0.1297
Li 0.0000 0.0000 0.8703
Li 0.5000 0.5000 0.3703
Li 0.5000 0.5000 0.6297
La 0.0000 0.0000 0.5000
La 0.5000 0.5000 0.0000
Mg 0.0000 0.5000 0.2500
Mg 0.0000 0.5000 0.7500
Mg 0.5000 0.0000 0.2500
Mg 0.5000 0.0000 0.7500
CELL_PARAMETERS angstrom
5.1987 0.0000 0.0000
0.0000 5.1987 0.0000
0.0000 0.0000 9.2739
! **Raw total energy**: -2.364 eV/atom

=====

4.
! SmTm2Sc6 PBE optimized geometry; values from VASP
&SYSTEM
  ibrav = 0, nat = 9, ntyp = 3
/
ATOMIC_SPECIES
Sm 150.36 Sm.upf
Tm 168.93 Tm.upf
Sc 44.96 Sc.upf
ATOMIC_POSITIONS crystal
Sm 0.0000 0.0000 0.0000
Tm 0.3333 0.6667 0.3288
Tm 0.3333 0.6667 0.6712
Sc 0.0000 0.0000 0.2180
Sc 0.0000 0.0000 0.4381
Sc 0.0000 0.0000 0.5619
Sc 0.0000 0.0000 0.7820
Sc 0.3333 0.6667 0.1151
Sc 0.3333 0.6667 0.8849
CELL_PARAMETERS angstrom
3.3923 0.0000 0.0000
-1.6961 2.9378 0.0000
0.0000 0.0000 24.3681
! **Raw total energy**: -5.662 eV/atom

=====

5.
! Mn2MoRh5 PBE optimized geometry; values from VASP
&SYSTEM
  ibrav = 0, nat = 16, ntyp = 3
/
ATOMIC_SPECIES
Mn 54.94 Mn.upf
Mo 95.94 Mo.upf
Rh 102.91 Rh.upf
ATOMIC_POSITIONS crystal
Mn 0.0000 0.0000 0.2481
Mn 0.0000 0.0000 0.7519
Mn 0.5000 0.5000 0.2519
Mn 0.5000 0.5000 0.7481
Mo 0.0000 0.0000 0.5000
Mo 0.5000 0.5000 0.0000
Rh 0.0000 0.0000 0.0000
Rh 0.0000 0.5000 0.1265
Rh 0.0000 0.5000 0.3735
Rh 0.0000 0.5000 0.6265
Rh 0.0000 0.5000 0.8735
Rh 0.5000 0.0000 0.1265
Rh 0.5000 0.0000 0.3735
Rh 0.5000 0.0000 0.6265
Rh 0.5000 0.0000 0.8735
Rh 0.5000 0.5000 0.5000
CELL_PARAMETERS angstrom
3.9169 0.0000 0.0000
0.0000 3.9169 0.0000
0.0000 0.0000 14.8356
! **Raw total energy**: -8.389 eV/atom

=====

6.
! NdTaN PBE optimized geometry; values from VASP
&SYSTEM
  ibrav = 0, nat = 6, ntyp = 3
/
ATOMIC_SPECIES
Nd 144.24 Nd.upf
Ta 180.95 Ta.upf
N 14.01 N.upf
ATOMIC_POSITIONS crystal
Nd 0.0000 0.0000 0.0000
Nd 0.5000 0.5000 0.5000
Ta 0.0000 0.0000 0.2980
Ta 0.5000 0.5000 0.7980
N 0.0000 0.0000 0.7819
N 0.5000 0.5000 0.2819
CELL_PARAMETERS angstrom
3.0343 0.0000 0.0000
0.0000 3.0343 0.0000
0.0000 0.0000 12.4681
! **Energy relative to the elements, uncorrected**: -1.159 eV per formula unit
! **Raw total energy**: -8.702 eV/atom